Entry 1:
# Sr2EuTaCu2O8 | Alexandria | GGA-PBEsol | optimized geometry
# Uncorrected formation energy (meV per atom): -2313
# Calculated volume (Å³/f.u.): 174.1
# Total magnetization (μB per cell): 6.048
data_Sr2EuTaCu2O8
_space_group_name_H-M_alt 'P 4/m m m'
_space_group_IT_number 123
_space_group_name_Hall '-P 4 2'
_cell_length_a 3.894
_cell_length_b 3.894
_cell_length_c 11.481
_cell_angle_alpha 90.00
_cell_angle_beta 90.00
_cell_angle_gamma 90.00
loop_
_atom_site_label
_atom_site_fract_x
_atom_site_fract_y
_atom_site_fract_z
Sr1 0.000 0.000 0.202
Eu1 0.000 0.000 0.500
Ta1 0.500 0.500 0.000
Cu1 0.500 0.500 0.359
O1 0.000 0.500 0.000
O2 0.000 0.500 0.368
O3 0.500 0.500 0.171

Entry 2:
# LiAg2RuRh | Alexandria | GGA-PBEsol | optimized geometry
# Formation energy from the elements (eV per atom): 1.54
# Calculated volume (Å³/f.u.): 97.7
# Total magnetization (μB per cell): 3.085
data_LiAg2RuRh
_space_group_name_H-M_alt 'P 4/m m m'
_space_group_IT_number 123
_space_group_name_Hall '-P 4 2'
_cell_length_a 4.869
_cell_length_b 4.869
_cell_length_c 4.124
_cell_angle_alpha 90.00
_cell_angle_beta 90.00
_cell_angle_gamma 90.00
loop_
_atom_site_label
_atom_site_fract_x
_atom_site_fract_y
_atom_site_fract_z
Li1 0.000 0.000 0.000
Ag1 0.000 0.500 0.500
Ru1 0.500 0.500 0.000
Rh1 0.000 0.000 0.500

Entry 3:
# Nb2Tl2N | Alexandria | GGA-PBEsol | optimized geometry
# Uncorrected formation energy (meV per atom): 1440
# Calculated volume (Å³/f.u.): 99.6
# Total magnetization (μB per cell): 0.001
data_Nb2Tl2N
_space_group_name_H-M_alt 'I 4/m m m'
_space_group_IT_number 139
_space_group_name_Hall '-I 4 2'
_cell_length_a 3.752
_cell_length_b 3.752
_cell_length_c 14.155
_cell_angle_alpha 90.00
_cell_angle_beta 90.00
_cell_angle_gamma 90.00
loop_
_atom_site_label
_atom_site_fract_x
_atom_site_fract_y
_atom_site_fract_z
Nb1 0.000 0.000 0.083
Tl1 0.000 0.500 0.250
N1 0.000 0.000 0.500

Among the records above, which one has the highest calculated volume?
Sr2EuTaCu2O8

Please write out number 3 again, unchanged.
# Nb2Tl2N | Alexandria | GGA-PBEsol | optimized geometry
# Uncorrected formation energy (meV per atom): 1440
# Calculated volume (Å³/f.u.): 99.6
# Total magnetization (μB per cell): 0.001
data_Nb2Tl2N
_space_group_name_H-M_alt 'I 4/m m m'
_space_group_IT_number 139
_space_group_name_Hall '-I 4 2'
_cell_length_a 3.752
_cell_length_b 3.752
_cell_length_c 14.155
_cell_angle_alpha 90.00
_cell_angle_beta 90.00
_cell_angle_gamma 90.00
loop_
_atom_site_label
_atom_site_fract_x
_atom_site_fract_y
_atom_site_fract_z
Nb1 0.000 0.000 0.083
Tl1 0.000 0.500 0.250
N1 0.000 0.000 0.500

What is the calculated volume in the second record?
97.7 Å³/f.u.

The lowest total magnetization belongs to which entry?
Nb2Tl2N